Here is a relaxed Zr2BeTe crystal from the Alexandria database. Energies are from GGA-PBE.

**E_form (uncorrected)**: -0.1540 eV per atom
**Distance to the lowest polymorph of the same formula**: 267 meV per atom
**Total moment**: 0.000 μB per formula unit
**Theoretical density**: 6.64 g/cm3

Cell lengths 6.640, 4.888, 3.453 Å; angles 86.04, 65.26, 122.10 degrees
Atoms (fractional coordinates):
Te 0.500 0.500 0.000
Zr 0.500 0.000 0.500
Zr 0.000 0.000 0.000
Be 0.000 0.500 0.500


Here is a relaxed YBiPS2 crystal from the Alexandria database. Energies are from GGA-PBE.

**E_form (uncorrected)**: -0.0868 eV per atom
**Distance to the lowest polymorph of the same formula**: 0 meV per atom
**Total moment**: 0.000 μB per formula unit
**Theoretical density**: 4.61 g/cm3

Cell lengths 5.133, 5.133, 5.370 Å; angles 90.00, 90.00, 90.00 degrees
Atoms (fractional coordinates):
Y 0.000 0.000 0.000
P 0.000 0.000 0.500
S 0.500 0.000 0.000
S 0.000 0.500 0.000
Bi 0.500 0.500 0.500


Here is a relaxed KTe2Os crystal from the Alexandria database. Energies are from GGA-PBE.

**E_form (uncorrected)**: -0.0631 eV per atom
**Distance to the lowest polymorph of the same formula**: 104 meV per atom
**Total moment**: 0.000 μB per formula unit
**Theoretical density**: 6.11 g/cm3

Cell lengths 8.193, 8.193, 6.997 Å; angles 54.16, 54.16, 90.00 degrees
Atoms (fractional coordinates):
K 0.250 0.750 0.500
K 0.500 0.500 0.000
Te 0.019 0.625 0.250
Te 0.875 0.981 0.750
Te 0.375 0.269 0.750
Te 0.731 0.125 0.250
Os 0.000 0.000 0.000
Os 0.750 0.250 0.500


Here is a relaxed RbCd3P crystal from the Alexandria database. Energies are from GGA-PBE.

**Energy of formation**: 1030 meV/atom
**Distance to the lowest polymorph of the same formula**: 842 meV per atom
**Total moment**: 2.187 μB per formula unit
**Theoretical density**: 2.31 g/cm3

Cell lengths 6.888, 6.888, 6.888 Å; angles 90.00, 90.00, 90.00 degrees
Atoms (fractional coordinates):
Rb 0.000 0.000 0.000
Cd 0.000 0.000 0.500
Cd 0.500 0.000 0.000
Cd 0.000 0.500 0.000
P 0.500 0.500 0.500


Here is a relaxed V2HPb crystal from the Alexandria database. Energies are from GGA-PBE.

**Distance to the lowest polymorph of the same formula**: 0 meV per atom
**Total moment**: 0.000 μB per formula unit
**Theoretical density**: 8.88 g/cm3

Cell lengths 5.175, 5.175, 5.671 Å; angles 62.85, 62.85, 90.00 degrees
Atoms (fractional coordinates):
V 0.375 0.625 0.750
V 0.375 0.625 0.250
V 0.375 0.125 0.250
V 0.875 0.625 0.750
Pb 0.750 0.250 0.500
Pb 0.000 0.000 0.000
H 0.500 0.500 0.000
H 0.250 0.750 0.500


Here is a relaxed Rh3CCl crystal from the Alexandria database. Energies are from GGA-PBE.

**E_form (uncorrected)**: 0.6114 eV per atom
**Distance to the lowest polymorph of the same formula**: 0 meV per atom
**Total moment**: 0.000 μB per formula unit
**Theoretical density**: 8.37 g/cm3

Cell lengths 4.134, 4.134, 4.134 Å; angles 90.00, 90.00, 90.00 degrees
Atoms (fractional coordinates):
C 0.000 0.000 0.000
Rh 0.500 0.000 0.000
Rh 0.000 0.000 0.500
Rh 0.000 0.500 0.000
Cl 0.500 0.500 0.500


Here is a relaxed Tl3TePd crystal from the Alexandria database. Energies are from GGA-PBE.

**E_form (uncorrected)**: -0.1721 eV per atom
**Distance to the lowest polymorph of the same formula**: 0 meV per atom
**Total moment**: 0.000 μB per formula unit
**Theoretical density**: 8.98 g/cm3

Cell lengths 5.391, 5.391, 5.391 Å; angles 90.00, 90.00, 90.00 degrees
Atoms (fractional coordinates):
Tl 0.000 0.500 0.000
Tl 0.000 0.000 0.500
Tl 0.500 0.000 0.000
Te 0.500 0.500 0.500
Pd 0.000 0.000 0.000


Here is a relaxed HfAl2S crystal from the Alexandria database. Energies are from GGA-PBE.

**E_form (uncorrected)**: -0.1270 eV per atom
**Total moment**: 0.000 μB per formula unit
**Theoretical density**: 6.08 g/cm3

Cell lengths 7.467, 7.467, 5.882 Å; angles 50.60, 50.60, 90.00 degrees
Atoms (fractional coordinates):
S 0.500 0.500 0.000
S 0.250 0.750 0.500
Al 0.875 0.833 0.750
Al 0.583 0.125 0.250
Al 0.375 0.417 0.750
Al 0.167 0.625 0.250
Hf 0.750 0.250 0.500
Hf 0.000 0.000 0.000


Here is a relaxed Tc2PbSe crystal from the Alexandria database. Energies are from GGA-PBE.

**E_form (uncorrected)**: 0.6215 eV per atom
**Distance to the lowest polymorph of the same formula**: 469 meV per atom
**Total moment**: 0.000 μB per formula unit
**Theoretical density**: 11.61 g/cm3

Cell lengths 4.603, 4.603, 4.603 Å; angles 60.00, 60.00, 60.00 degrees
Atoms (fractional coordinates):
Se 0.000 0.000 0.000
Tc 0.250 0.250 0.250
Tc 0.750 0.750 0.750
Pb 0.500 0.500 0.500


Here is a relaxed Tb6Bi5Te crystal from the Alexandria database. Energies are from GGA-PBE.

**E_form (uncorrected)**: -0.9723 eV per atom
**Total moment**: 0.000 μB per formula unit
**Theoretical density**: 9.30 g/cm3

Cell lengths 7.746, 7.746, 7.745 Å; angles 99.61, 99.61, 119.95 degrees
Atoms (fractional coordinates):
Tb 0.418 0.084 0.251
Tb 0.084 0.418 0.251
Tb 0.749 0.749 0.252
Tb 0.916 0.582 0.749
Tb 0.582 0.916 0.749
Tb 0.251 0.251 0.748
Bi 0.834 0.166 0.500
Bi 0.333 0.667 0.000
Bi 0.166 0.834 0.500
Bi 0.667 0.333 0.000
Bi 0.500 0.500 0.500
Te 0.000 0.000 0.000


Here is a relaxed KNa2ZnW crystal from the Alexandria database. Energies are from GGA-PBE.

**Energy of formation**: 1119 meV/atom
**Total moment**: 4.215 μB per formula unit
**Theoretical density**: 2.99 g/cm3

Cell lengths 5.974, 5.200, 5.974 Å; angles 90.00, 90.00, 90.00 degrees
Atoms (fractional coordinates):
Na 0.000 0.000 0.500
Na 0.500 0.000 0.000
K 0.500 0.500 0.500
W 0.000 0.000 0.000
Zn 0.000 0.500 0.000


Here is a relaxed Tb3AlTl4S8 crystal from the Alexandria database. Energies are from GGA-PBE.

**E_form (uncorrected)**: -1.2664 eV per atom
**Total moment**: 0.000 μB per formula unit
**Theoretical density**: 6.43 g/cm3

Cell lengths 7.909, 8.803, 7.910 Å; angles 116.71, 120.00, 90.00 degrees
Atoms (fractional coordinates):
Tl 0.000 0.000 0.000
Tl 0.000 0.000 0.500
Tl 0.500 0.000 0.000
Tl 0.500 0.000 0.500
S 0.755 0.689 0.972
S 0.734 0.701 0.467
S 0.217 0.689 0.972
S 0.217 0.689 0.434
S 0.783 0.311 0.028
S 0.266 0.299 0.533
S 0.783 0.311 0.566
S 0.245 0.311 0.028
Tb 0.000 0.500 0.500
Tb 0.500 0.500 0.000
Tb 0.500 0.500 0.500
Al 0.000 0.500 0.000


Which value of theoretical density does entry 9 give?
11.61 g/cm3


Look up the theoretical density of the first one.
6.64 g/cm3